(1)
VASP calculation (GGA-PBE) on a geometry-optimized FeRuPt2 structure.

- energy relative to the elements (kJ/mol of atoms) = -6.2
- calculated density (g cm⁻³) = 15.731
- crystal system = tetragonal

Cell and atoms, written as CIF:
```
data_FeRuPt2
_symmetry_space_group_name_H-M 'I 4/m m m'
_symmetry_Int_Tables_number 139
_symmetry_space_group_name_Hall '-I 4 2'
_cell_length_a 3.8404
_cell_length_b 3.8404
_cell_length_c 7.8312
_cell_angle_alpha 90.00
_cell_angle_beta 90.00
_cell_angle_gamma 90.00
loop_
_atom_site_label
_atom_site_type_symbol
_atom_site_fract_x
_atom_site_fract_y
_atom_site_fract_z
Fe1 Fe 0.0000 0.0000 0.0000
Ru1 Ru 0.0000 0.0000 0.5000
Pt1 Pt 0.0000 0.5000 0.2500
```


(2)
VASP calculation (GGA-PBE) on a geometry-optimized Rb6Sc3Br14 structure.

- calculated density (g cm⁻³) = 3.151
- crystal system = trigonal
- energy relative to the elements, uncorrected (meV per atom) = -1697

Cell and atoms, written as CIF:
```
data_Rb6Sc3Br14
_symmetry_space_group_name_H-M 'P 3'
_symmetry_Int_Tables_number 143
_cell_length_a 12.4196
_cell_length_b 12.4196
_cell_length_c 6.9675
_cell_angle_alpha 90.00
_cell_angle_beta 90.00
_cell_angle_gamma 120.00
loop_
_symmetry_equiv_pos_as_xyz
'x,y,z'
'-y,x-y,z'
'-x+y,-x,z'
loop_
_atom_site_label
_atom_site_type_symbol
_atom_site_fract_x
_atom_site_fract_y
_atom_site_fract_z
Rb1 Rb 0.0237 0.5645 0.0000
Rb2 Rb 0.3044 0.0965 0.5120
Sc1 Sc 0.0000 0.0000 0.9393
Sc2 Sc 0.3333 0.6667 0.4269
Sc3 Sc 0.6667 0.3333 0.2835
Br1 Br 0.0000 0.0000 0.3065
Br2 Br 0.0734 0.8555 0.8050
Br3 Br 0.1930 0.4482 0.2959
Br4 Br 0.3333 0.6667 0.7942
Br5 Br 0.4599 0.1992 0.0648
Br6 Br 0.5307 0.4049 0.4986
```


(3)
VASP calculation (GGA-PBE) on a geometry-optimized UPa2PtN5 structure.

- calculated density (g cm⁻³) = 13.289
- crystal system = orthorhombic
- energy relative to the elements, uncorrected (meV per atom) = -1030

Cell and atoms, written as CIF:
```
data_UPa2PtN5
_symmetry_space_group_name_H-M 'C m c 21'
_symmetry_Int_Tables_number 36
_cell_length_a 3.3793
_cell_length_b 13.3584
_cell_length_c 10.6870
_cell_angle_alpha 90.00
_cell_angle_beta 90.00
_cell_angle_gamma 90.00
loop_
_symmetry_equiv_pos_as_xyz
'x,y,z'
'-x,-y,z+1/2'
'-x,y,z'
'x,-y,z+1/2'
'x+1/2,y+1/2,z'
'-x+1/2,-y+1/2,z+1/2'
'-x+1/2,y+1/2,z'
'x+1/2,-y+1/2,z+1/2'
loop_
_atom_site_label
_atom_site_type_symbol
_atom_site_fract_x
_atom_site_fract_y
_atom_site_fract_z
U1 U 0.0000 0.1851 0.0000
Pa1 Pa 0.0000 0.1206 0.6892
Pa2 Pa 0.0000 0.1315 0.3013
Pt1 Pt 0.0000 0.4991 0.4809
N1 N 0.0000 0.0382 0.0967
N2 N 0.0000 0.2920 0.6536
N3 N 0.0000 0.2999 0.3384
N4 N 0.0000 0.3382 0.9954
N5 N 0.0000 0.4951 0.7826
```


(4)
VASP calculation (GGA-PBE) on a geometry-optimized PuCu2Hg structure.

- energy relative to the elements (kJ/mol of atoms) = 9.4
- calculated density (g cm⁻³) = 12.354
- crystal system = cubic
- energy relative to the lowest polymorph listed for this composition (meV/atom) = 0

Cell and atoms, written as CIF:
```
data_PuCu2Hg
_symmetry_space_group_name_H-M 'F m -3 m'
_symmetry_Int_Tables_number 225
_symmetry_space_group_name_Hall '-F 4 2 3'
_cell_length_a 6.7486
_cell_length_b 6.7486
_cell_length_c 6.7486
_cell_angle_alpha 90.00
_cell_angle_beta 90.00
_cell_angle_gamma 90.00
loop_
_atom_site_label
_atom_site_type_symbol
_atom_site_fract_x
_atom_site_fract_y
_atom_site_fract_z
Pu1 Pu 0.0000 0.0000 0.0000
Cu1 Cu 0.2500 0.2500 0.2500
Hg1 Hg 0.0000 0.0000 0.5000
```


(5)
VASP calculation (GGA-PBE) on a geometry-optimized CaSmCdHg structure.

- energy relative to the elements (kJ/mol of atoms) = -42.9
- calculated density (g cm⁻³) = 7.631
- crystal system = cubic

Cell and atoms, written as CIF:
```
data_CaSmCdHg
_symmetry_space_group_name_H-M 'F -4 3 m'
_symmetry_Int_Tables_number 216
_symmetry_space_group_name_Hall 'F -4 2 3'
_cell_length_a 7.5955
_cell_length_b 7.5955
_cell_length_c 7.5955
_cell_angle_alpha 90.00
_cell_angle_beta 90.00
_cell_angle_gamma 90.00
loop_
_atom_site_label
_atom_site_type_symbol
_atom_site_fract_x
_atom_site_fract_y
_atom_site_fract_z
Ca1 Ca 0.0000 0.0000 0.0000
Sm1 Sm 0.0000 0.0000 0.5000
Cd1 Cd 0.2500 0.2500 0.2500
Hg1 Hg 0.2500 0.2500 0.7500
```


(6)
VASP calculation (GGA-PBE) on a geometry-optimized SrSc4Pd5 structure.

- energy relative to the elements (kJ/mol of atoms) = -79.9
- calculated density (g cm⁻³) = 6.798
- crystal system = tetragonal

Cell and atoms, written as CIF:
```
data_SrSc4Pd5
_symmetry_space_group_name_H-M 'P 4/m m m'
_symmetry_Int_Tables_number 123
_symmetry_space_group_name_Hall '-P 4 2'
_cell_length_a 3.3754
_cell_length_b 3.3754
_cell_length_c 17.1421
_cell_angle_alpha 90.00
_cell_angle_beta 90.00
_cell_angle_gamma 90.00
loop_
_atom_site_label
_atom_site_type_symbol
_atom_site_fract_x
_atom_site_fract_y
_atom_site_fract_z
Sr1 Sr 0.0000 0.0000 0.0000
Sc1 Sc 0.0000 0.0000 0.2147
Sc2 Sc 0.0000 0.0000 0.4059
Pd1 Pd 0.5000 0.5000 0.1335
Pd2 Pd 0.5000 0.5000 0.3154
Pd3 Pd 0.5000 0.5000 0.5000
```


(7)
VASP calculation (GGA-PBE) on a geometry-optimized Ba2PaTiO6 structure.

- calculated density (g cm⁻³) = 6.847
- crystal system = tetragonal
- energy relative to the elements, uncorrected (meV per atom) = -3137

Cell and atoms, written as CIF:
```
data_Ba2PaTiO6
_symmetry_space_group_name_H-M 'P 4/m m m'
_symmetry_Int_Tables_number 123
_symmetry_space_group_name_Hall '-P 4 2'
_cell_length_a 4.2921
_cell_length_b 4.2921
_cell_length_c 8.5515
_cell_angle_alpha 90.00
_cell_angle_beta 90.00
_cell_angle_gamma 90.00
loop_
_atom_site_label
_atom_site_type_symbol
_atom_site_fract_x
_atom_site_fract_y
_atom_site_fract_z
Ba1 Ba 0.0000 0.0000 0.2139
Pa1 Pa 0.5000 0.5000 0.5000
Ti1 Ti 0.5000 0.5000 0.0000
O1 O 0.0000 0.5000 0.0000
O2 O 0.0000 0.5000 0.5000
O3 O 0.5000 0.5000 0.2442
```


(8)
VASP calculation (GGA-PBE) on a geometry-optimized Y2IrPtSe structure.

- calculated density (g cm⁻³) = 7.655
- crystal system = tetragonal
- energy relative to the elements, uncorrected (meV per atom) = -195

Cell and atoms, written as CIF:
```
data_Y2IrPtSe
_symmetry_space_group_name_H-M 'P 4/m m m'
_symmetry_Int_Tables_number 123
_symmetry_space_group_name_Hall '-P 4 2'
_cell_length_a 5.4691
_cell_length_b 5.4691
_cell_length_c 4.6711
_cell_angle_alpha 90.00
_cell_angle_beta 90.00
_cell_angle_gamma 90.00
loop_
_atom_site_label
_atom_site_type_symbol
_atom_site_fract_x
_atom_site_fract_y
_atom_site_fract_z
Y1 Y 0.0000 0.5000 0.0000
Ir1 Ir 0.0000 0.0000 0.5000
Pt1 Pt 0.0000 0.0000 0.0000
Se1 Se 0.5000 0.5000 0.5000
```


(9)
VASP calculation (GGA-PBE) on a geometry-optimized Tb6Co2CuCl3 structure.

- calculated density (g cm⁻³) = 7.109
- crystal system = monoclinic
- energy relative to the elements, uncorrected (meV per atom) = -838

Cell and atoms, written as CIF:
```
data_Tb6Co2CuCl3
_symmetry_space_group_name_H-M 'C 1 2/m 1'
_symmetry_Int_Tables_number 12
_cell_length_a 6.7560
_cell_length_b 11.7195
_cell_length_c 7.6591
_cell_angle_alpha 90.00
_cell_angle_beta 107.01
_cell_angle_gamma 90.00
loop_
_symmetry_equiv_pos_as_xyz
'x,y,z'
'-x,-y,-z'
'-x,y,-z'
'x,-y,z'
'x+1/2,y+1/2,z'
'-x+1/2,-y+1/2,-z'
'-x+1/2,y+1/2,-z'
'x+1/2,-y+1/2,z'
loop_
_atom_site_label
_atom_site_type_symbol
_atom_site_fract_x
_atom_site_fract_y
_atom_site_fract_z
Tb1 Tb 0.2144 0.0000 0.2015
Tb2 Tb 0.2431 0.3240 0.2019
Co1 Co 0.0000 0.1666 0.0000
Cu1 Cu 0.0000 0.5000 0.0000
Cl1 Cl 0.0000 0.0000 0.5000
Cl2 Cl 0.0000 0.3301 0.5000
```


(10)
VASP calculation (GGA-PBE) on a geometry-optimized YGaRh structure.

- energy relative to the elements (kJ/mol of atoms) = -86.6
- calculated density (g cm⁻³) = 7.529
- crystal system = orthorhombic

Cell and atoms, written as CIF:
```
data_YGaRh
_symmetry_space_group_name_H-M 'P n m a'
_symmetry_Int_Tables_number 62
_cell_length_a 6.8486
_cell_length_b 4.3440
_cell_length_c 7.7552
_cell_angle_alpha 90.00
_cell_angle_beta 90.00
_cell_angle_gamma 90.00
loop_
_symmetry_equiv_pos_as_xyz
'x,y,z'
'-x,-y,-z'
'-x+1/2,-y,z+1/2'
'x+1/2,y,-z+1/2'
'x+1/2,-y+1/2,-z+1/2'
'-x+1/2,y+1/2,z+1/2'
'-x,y+1/2,-z'
'x,-y+1/2,z'
loop_
_atom_site_label
_atom_site_type_symbol
_atom_site_fract_x
_atom_site_fract_y
_atom_site_fract_z
Y1 Y 0.0254 0.2500 0.1894
Ga1 Ga 0.1587 0.2500 0.5700
Rh1 Rh 0.2274 0.7500 0.3924
```